(1)
The following is a PBE calculation of YTeMo2H after structural relaxation, from Alexandria.

Energy, eV/f.u.: -34.07
Crystal system: tetragonal

Lattice parameters (Å, degrees): 4.0862 4.0862 4.9462 90.00 90.00 90.00
With the nearest neighbours (Å) after each atom.
Space group P4/mmm (No. 123)
Asymmetric unit:
Y: 0.0000 0.0000 0.0000  2 H 2.47
Te: 0.5000 0.5000 0.0000  4 Y 2.89, 8 Mo 3.21
Mo: 0.0000 0.5000 0.5000  2 H 2.04
H: 0.0000 0.0000 0.5000  4 Mo 2.04

=====

(2)
The following is a PBE calculation of RbDyMoN3 after structural relaxation, from Alexandria.

Energy, eV/f.u.: -44.53
ΔE_f (raw), eV/atom: -0.525
Crystal system: monoclinic

Lattice parameters (Å, degrees): 13.5365 3.9552 8.0865 90.00 104.30 90.00
With the nearest neighbours (Å) after each atom.
Space group C2/m (No. 12)
Asymmetric unit:
Rb: 0.1428 0.0000 0.0644  7 N 2.97-3.32
Dy: 0.1610 0.0000 0.5718  6 N 2.32-2.57
Mo: 0.0049 0.5000 0.3329  4 N 1.88-2.08
N: 0.0131 0.0000 0.3235  2 Mo 1.98
N: 0.1367 0.5000 0.7618  1 Mo 1.88
N: 0.1631 0.5000 0.3832  1 Mo 2.08, 1 Dy 2.32

=====

(3)
The following is a PBE calculation of TiSi3Br after structural relaxation, from Alexandria.

Distance to the lowest polymorph of the same formula, meV per atom: 0
Energy, eV/f.u.: -22.48
ΔE_f (raw), eV/atom: 0.670
Crystal system: cubic

Lattice parameters (Å, degrees): 4.9337 4.9337 4.9337 90.00 90.00 90.00
With the nearest neighbours (Å) after each atom.
Space group Pm-3m (No. 221)
Asymmetric unit:
Ti: 0.0000 0.0000 0.0000  6 Si 2.47
Si: 0.0000 0.0000 0.5000  2 Ti 2.47
Br: 0.5000 0.5000 0.5000  12 Si 3.49

=====

(4)
The following is a PBE calculation of AlCdSnBi after structural relaxation, from Alexandria.

Energy, eV/f.u.: -11.77
Energy relative to the elements, eV/atom: 0.193
Crystal system: cubic

Lattice parameters (Å, degrees): 7.4096 7.4096 7.4096 90.00 90.00 90.00
With the nearest neighbours (Å) after each atom.
Space group F-43m (No. 216)
Asymmetric unit:
Al: 0.0000 0.0000 0.0000  4 Sn 3.21, 4 Bi 3.21
Cd: 0.0000 0.0000 0.5000  4 Sn 3.21, 4 Bi 3.21
Sn: 0.2500 0.2500 0.2500  4 Cd 3.21, 4 Al 3.21
Bi: 0.2500 0.2500 0.7500  4 Cd 3.21, 4 Al 3.21

=====

(5)
The following is a PBE calculation of Li8NiPd2 after structural relaxation, from Alexandria.

Distance to the lowest polymorph of the same formula, meV per atom: 0
Energy, eV/f.u.: -33.24
Energy relative to the elements, eV/atom: -0.161
Crystal system: monoclinic

Lattice parameters (Å, degrees): 13.6654 4.0959 5.9791 90.00 105.81 90.00
With the nearest neighbours (Å) after each atom.
Space group C2/m (No. 12)
Asymmetric unit:
Li: 0.0392 0.0000 0.2486  7 Li 2.68-2.87, 2 Ni 2.68, 1 Pd 2.69
Li: 0.1038 0.5000 0.9471  3 Pd 2.62-2.66, 1 Ni 2.66, 5 Li 2.68-2.85
Li: 0.1494 0.0000 0.6937  3 Pd 2.61-2.72, 7 Li 2.64-2.74, 2 Ni 2.90
Li: 0.1753 0.5000 0.4112  1 Ni 2.59, 8 Li 2.64-2.88, 3 Pd 2.65-2.75
Ni: 0.0000 0.5000 0.5000  12 Li 2.59-2.90
Pd: 0.2194 0.0000 0.1462  10 Li 2.61-2.75

=====

(6)
The following is a PBE calculation of PrDy2Y4 after structural relaxation, from Alexandria.

Distance to the lowest polymorph of the same formula, meV per atom: 139
Energy, eV/f.u.: -38.68
Energy relative to the elements, eV/atom: 0.166
Crystal system: triclinic

Lattice parameters (Å, degrees): 6.4370 8.6042 9.6078 79.52 70.44 68.06
With the nearest neighbours (Å) after each atom.
Space group P1 (No. 1)
Asymmetric unit:
Pr: 0.0000 0.0000 0.0000  5 Y 3.19-3.51, 1 Dy 3.43, 2 Pr 3.56
Pr: 0.3796 0.1658 0.0747  5 Y 3.18-3.51, 1 Dy 3.43, 2 Pr 3.56
Dy: 0.0616 0.5829 0.0372  6 Y 3.34-3.70, 2 Pr 3.43
Dy: 0.6183 0.5037 0.4969  5 Y 3.16-3.48, 1 Dy 3.46
Dy: 0.9359 0.0827 0.5377  4 Y 3.32-3.63, 2 Dy 3.46
Dy: 0.9983 0.6616 0.5789  5 Y 3.16-3.49, 1 Dy 3.46
Y: 0.2218 0.3492 0.3712  1 Pr 3.18, 3 Dy 3.23-3.45, 2 Y 3.26-3.47
Y: 0.3112 0.2448 0.7181  4 Y 3.47-3.72, 3 Dy 3.48-3.66, 2 Pr 3.51-3.64
Y: 0.3227 0.8165 0.7034  1 Pr 3.19, 3 Dy 3.22-3.45, 2 Y 3.26-3.47
Y: 0.3365 0.7441 0.2277  3 Dy 3.46-3.65, 2 Pr 3.49-3.73, 4 Y 3.53-3.67
Y: 0.6544 0.9203 0.3564  4 Y 3.47-3.72, 3 Dy 3.49-3.66, 2 Pr 3.51-3.64
Y: 0.6696 0.8455 0.8713  2 Dy 3.16-3.34, 2 Pr 3.25-3.51, 2 Y 3.26-3.53
Y: 0.6879 0.4217 0.8479  3 Dy 3.46-3.65, 2 Pr 3.49-3.73, 4 Y 3.53-3.67
Y: 0.7664 0.3202 0.2042  2 Dy 3.16-3.34, 2 Pr 3.26-3.51, 2 Y 3.26-3.53

=====

(7)
The following is a PBE calculation of BaHoCu after structural relaxation, from Alexandria.

Energy, eV/f.u.: -10.52
Energy relative to the elements, eV/atom: 0.027
Crystal system: monoclinic

Lattice parameters (Å, degrees): 22.6056 4.0726 8.6294 90.00 97.27 90.00
With the nearest neighbours (Å) after each atom.
Space group C2/m (No. 12)
Asymmetric unit:
Ba: 0.0400 0.0000 0.3100  2 Cu 3.25-3.32
Ba: 0.1077 0.5000 0.9448  4 Cu 3.30-3.59
Ho: 0.1847 0.5000 0.5083  4 Cu 2.86-3.00
Ho: 0.2419 0.0000 0.8285  3 Cu 2.80-2.97
Cu: 0.1207 0.0000 0.6496  3 Ho 2.86-2.97
Cu: 0.1823 0.0000 0.2519  4 Ho 2.80-3.00

=====

(8)
The following is a PBE calculation of La4CuSiBr2 after structural relaxation, from Alexandria.

Energy, eV/f.u.: -39.85
ΔE_f (raw), eV/atom: -0.910
Crystal system: monoclinic

Lattice parameters (Å, degrees): 7.6397 4.2920 7.6507 90.00 108.28 90.00
With the nearest neighbours (Å) after each atom.
Space group P2/m (No. 10)
Asymmetric unit:
La: 0.2217 0.0000 0.2397  2 Cu 2.98, 1 Si 2.99, 3 Br 3.21-3.23
La: 0.2250 0.5000 0.7372  2 Si 2.98, 1 Cu 3.03, 3 Br 3.18-3.23
Cu: 0.0000 0.5000 0.0000  6 La 2.98-3.03
Si: 0.0000 0.0000 0.5000  6 La 2.98-2.99
Br: 0.5000 0.0000 0.0000  6 La 3.21-3.23
Br: 0.5000 0.5000 0.5000  6 La 3.18-3.23

=====

- Which of these has the highest energy?
  BaHoCu

=====

- Which value of energy does entry 7 give?
  -10.52 eV/f.u.